(1)
DFT (PBE-GGA) results for an optimized crystal structure of YAl2Cr.

a b c (Å): 5.1013 5.1013 5.1013
angles (deg): 129.32 129.32 74.49
Closest atoms and distances in Å follow each position.
Positions (direct):
Al: 0.0000 0.0000 0.0000  4 Al 2.98, 4 Y 2.98, 4 Cr 3.09
Al: 0.2500 0.7500 0.5000  4 Al 2.98, 4 Cr 2.98, 4 Y 3.09
Cr: 0.5000 0.5000 0.0000  8 Al 2.98-3.09, 4 Y 2.98
Y: 0.7500 0.2500 0.5000  8 Al 2.98-3.09, 4 Cr 2.98

Results
The volume is 19.36 A^3/atom.

(2)
DFT (PBE-GGA) results for an optimized crystal structure of Y2AlCr2.

a b c (Å): 6.8531 6.8531 4.3922
angles (deg): 90.00 90.00 90.00
Closest atoms and distances in Å follow each position.
Positions (direct):
Y: 0.1877 0.6877 0.5000  6 Cr 3.01-3.02, 4 Al 3.33
Y: 0.6877 0.8123 0.5000  6 Cr 3.01-3.02, 4 Al 3.33
Y: 0.3123 0.1877 0.5000  6 Cr 3.01-3.02, 4 Al 3.33
Y: 0.8123 0.3123 0.5000  6 Cr 3.01-3.02, 4 Al 3.33
Al: 0.5000 0.5000 0.0000  4 Cr 2.83
Al: 0.0000 0.0000 0.0000  4 Cr 2.83
Cr: 0.4011 0.9011 0.0000  1 Cr 1.92
Cr: 0.9011 0.5989 0.0000  1 Cr 1.92
Cr: 0.0989 0.4011 0.0000  1 Cr 1.92
Cr: 0.5989 0.0989 0.0000  1 Cr 1.92

Results
The volume is 20.63 A^3/atom.

(3)
DFT (PBE-GGA) results for an optimized crystal structure of Y2AlCr.

a b c (Å): 5.0114 5.0114 5.0114
angles (deg): 60.00 60.00 60.00
Closest atoms and distances in Å follow each position.
Positions (direct):
Y: 0.0000 0.0000 0.0000  4 Y 3.07, 4 Cr 3.07
Y: 0.2500 0.2500 0.2500  4 Al 3.07, 4 Y 3.07
Cr: 0.7500 0.7500 0.7500  4 Al 3.07, 4 Y 3.07
Al: 0.5000 0.5000 0.5000  4 Cr 3.07, 4 Y 3.07

Results
The volume is 22.25 A^3/atom.

(4)
DFT (PBE-GGA) results for an optimized crystal structure of YAl2Cr.

a b c (Å): 3.1703 3.1728 7.2920
angles (deg): 90.00 90.00 90.00
Closest atoms and distances in Å follow each position.
Positions (direct):
Al: 0.0000 0.0000 0.0530  4 Cr 2.66, 1 Al 2.87
Al: 0.0000 0.0000 0.4470  4 Cr 2.66, 1 Al 2.87
Y: 0.5000 0.5000 0.7500  8 Al 3.15, 4 Y 3.17
Cr: 0.5000 0.5000 0.2500  8 Al 2.66

Results
The volume is 18.34 A^3/atom.

(5)
DFT (PBE-GGA) results for an optimized crystal structure of Y2AlCr.

a b c (Å): 9.7392 9.7392 9.7392
angles (deg): 20.45 20.45 20.45
Closest atoms and distances in Å follow each position.
Positions (direct):
Al: 0.4891 0.4891 0.4891  3 Cr 2.65
Y: 0.0114 0.0114 0.0114  3 Cr 3.11, 6 Y 3.46
Y: 0.2379 0.2379 0.2379  3 Al 3.08
Cr: 0.7615 0.7615 0.7615  3 Al 2.65

Results
The volume is 24.68 A^3/atom.

(6)
DFT (PBE-GGA) results for an optimized crystal structure of Y4AlCr.

a b c (Å): 6.2223 6.2223 6.2223
angles (deg): 60.00 60.00 60.00
Closest atoms and distances in Å follow each position.
Positions (direct):
Cr: 0.0000 0.0000 0.0000  12 Y 3.65, 4 Al 3.81
Y: 0.8742 0.3753 0.3753  6 Y 3.10-3.12
Y: 0.3753 0.3753 0.3753  6 Y 3.10-3.12
Y: 0.3753 0.3753 0.8742  6 Y 3.10-3.12
Y: 0.3753 0.8742 0.3753  6 Y 3.10-3.12
Al: 0.7500 0.7500 0.7500  12 Y 3.65, 4 Cr 3.81

Results
The volume is 28.39 A^3/atom.

Number 1: magnetic moment 3.4 μB/cell, calculated formation energy 0.040 eV/atom, final energy -23.41 eV per cell. Number 2: magnetic moment 0.0 μB/cell, calculated formation energy 0.127 eV/atom, final energy -70.57 eV per cell. Number 3: magnetic moment 3.0 μB/cell, calculated formation energy 0.140 eV/atom, final energy -25.73 eV per cell. Number 4: magnetic moment 2.6 μB/cell, calculated formation energy -0.144 eV/atom, final energy -24.15 eV per cell. Number 5: magnetic moment 3.2 μB/cell, calculated formation energy 0.313 eV/atom, final energy -25.04 eV per cell. Number 6: magnetic moment 4.3 μB/cell, calculated formation energy 0.635 eV/atom, final energy -35.41 eV per cell.